# Tb6GaRu2Br3, optimized geometry, DFT PBE-GGA
data_Tb6GaRu2Br3
_chemical_formula_sum 'Tb12 Ga2 Ru4 Br6'
_space_group_name_H-M_alt 'C 1 2/m 1'
_space_group_IT_number 12
_space_group_name_Hall '-C 2y'
_cell_length_a 7.016
_cell_length_b 12.175
_cell_length_c 7.986
_cell_angle_alpha 90.00
_cell_angle_beta 107.10
_cell_angle_gamma 90.00
loop_
_atom_site_label
_atom_site_type_symbol
_atom_site_fract_x
_atom_site_fract_y
_atom_site_fract_z
Tb1 Tb 0.210 0.000 0.200
Tb2 Tb 0.244 0.321 0.199
Ga1 Ga 0.000 0.500 0.000
Ru1 Ru 0.000 0.166 0.000
Br1 Br 0.000 0.000 0.500
Br2 Br 0.000 0.334 0.500
# formation energy (no corrections)	-0.83	eV per atom

# GaS2Br, optimized geometry, DFT PBE-GGA
data_GaS2Br
_chemical_formula_sum 'Ga4 S8 Br4'
_space_group_name_H-M_alt 'I -4 2 d'
_space_group_IT_number 122
_space_group_name_Hall 'I -4 2bw'
_cell_length_a 6.609
_cell_length_b 6.609
_cell_length_c 9.277
_cell_angle_alpha 90.00
_cell_angle_beta 90.00
_cell_angle_gamma 90.00
loop_
_atom_site_label
_atom_site_type_symbol
_atom_site_fract_x
_atom_site_fract_y
_atom_site_fract_z
Ga1 Ga 0.000 0.000 0.000
S1 S 0.173 0.250 0.125
Br1 Br 0.000 0.000 0.500
# relative energy among the computed polymorphs	46.1	kJ per mole of atoms
# formation energy (no corrections)	0.05	eV per atom

# GaSBr, optimized geometry, DFT PBE-GGA
data_GaSBr
_chemical_formula_sum 'Ga2 S2 Br2'
_space_group_name_H-M_alt 'P m n 21'
_space_group_IT_number 31
_space_group_name_Hall 'P 2ac -2'
_cell_length_a 3.749
_cell_length_b 8.775
_cell_length_c 5.369
_cell_angle_alpha 90.00
_cell_angle_beta 90.00
_cell_angle_gamma 90.00
loop_
_atom_site_label
_atom_site_type_symbol
_atom_site_fract_x
_atom_site_fract_y
_atom_site_fract_z
Ga1 Ga 0.000 0.111 0.000
S1 S 0.000 0.888 0.235
Br1 Br 0.000 0.337 0.217
# formation energy (no corrections)	-0.75	eV per atom

# GaS2Br, optimized geometry, DFT PBE-GGA
data_GaS2Br
_chemical_formula_sum 'Ga4 S8 Br4'
_space_group_name_H-M_alt 'F m -3 m'
_space_group_IT_number 225
_space_group_name_Hall '-F 4 2 3'
_cell_length_a 6.716
_cell_length_b 6.716
_cell_length_c 6.716
_cell_angle_alpha 90.00
_cell_angle_beta 90.00
_cell_angle_gamma 90.00
loop_
_atom_site_label
_atom_site_type_symbol
_atom_site_fract_x
_atom_site_fract_y
_atom_site_fract_z
Ga1 Ga 0.000 0.000 0.000
S1 S 0.250 0.250 0.250
Br1 Br 0.000 0.000 0.500
# relative energy among the computed polymorphs	101.4	kJ per mole of atoms
# formation energy (no corrections)	0.63	eV per atom

# GaS3Br, optimized geometry, DFT PBE-GGA
data_GaS3Br
_chemical_formula_sum 'Ga1 S3 Br1'
_space_group_name_H-M_alt 'P m -3 m'
_space_group_IT_number 221
_space_group_name_Hall '-P 4 2 3'
_cell_length_a 4.751
_cell_length_b 4.751
_cell_length_c 4.751
_cell_angle_alpha 90.00
_cell_angle_beta 90.00
_cell_angle_gamma 90.00
loop_
_atom_site_label
_atom_site_type_symbol
_atom_site_fract_x
_atom_site_fract_y
_atom_site_fract_z
Ga1 Ga 0.000 0.000 0.000
S1 S 0.000 0.000 0.500
Br1 Br 0.500 0.500 0.500
# relative energy among the computed polymorphs	81.6	kJ per mole of atoms
# formation energy (no corrections)	0.60	eV per atom

# Ga3SBr, optimized geometry, DFT PBE-GGA
data_Ga3SBr
_chemical_formula_sum 'Ga3 S1 Br1'
_space_group_name_H-M_alt 'P m -3 m'
_space_group_IT_number 221
_space_group_name_Hall '-P 4 2 3'
_cell_length_a 5.594
_cell_length_b 5.594
_cell_length_c 5.594
_cell_angle_alpha 90.00
_cell_angle_beta 90.00
_cell_angle_gamma 90.00
loop_
_atom_site_label
_atom_site_type_symbol
_atom_site_fract_x
_atom_site_fract_y
_atom_site_fract_z
Ga1 Ga 0.000 0.000 0.500
S1 S 0.500 0.500 0.500
Br1 Br 0.000 0.000 0.000
# relative energy among the computed polymorphs	35.2	kJ per mole of atoms
# formation energy (no corrections)	0.42	eV per atom

# GaS4Br, optimized geometry, DFT PBE-GGA
data_GaS4Br
_chemical_formula_sum 'Ga2 S8 Br2'
_space_group_name_H-M_alt 'P -1'
_space_group_IT_number 2
_space_group_name_Hall '-P 1'
_cell_length_a 7.066
_cell_length_b 7.918
_cell_length_c 8.254
_cell_angle_alpha 68.63
_cell_angle_beta 85.92
_cell_angle_gamma 70.65
loop_
_atom_site_label
_atom_site_type_symbol
_atom_site_fract_x
_atom_site_fract_y
_atom_site_fract_z
Ga1 Ga 0.031 0.141 0.231
S1 S 0.038 0.059 0.870
S2 S 0.135 0.388 0.026
S3 S 0.247 0.747 0.602
S4 S 0.248 0.025 0.474
Br1 Br 0.447 0.364 0.228
# formation energy (no corrections)	-0.11	eV per atom

# GaS2Br, optimized geometry, DFT PBE-GGA
data_GaS2Br
_chemical_formula_sum 'Ga3 S6 Br3'
_space_group_name_H-M_alt 'R -3 m'
_space_group_IT_number 166
_space_group_name_Hall '-R 3 2"'
_cell_length_a 2.8000
_cell_length_b 2.8000
_cell_length_c 41.6578
_cell_angle_alpha 90.00
_cell_angle_beta 90.00
_cell_angle_gamma 120.00
loop_
_atom_site_label
_atom_site_type_symbol
_atom_site_fract_x
_atom_site_fract_y
_atom_site_fract_z
Ga1 Ga 0.0000 0.0000 0.0000
S1 S 0.0000 0.0000 0.0602
Br1 Br 0.0000 0.0000 0.5000
# relative energy among the computed polymorphs	86.2	kJ per mole of atoms
# formation energy (no corrections)	0.47	eV per atom

# GaSBr2, optimized geometry, DFT PBE-GGA
data_GaSBr2
_chemical_formula_sum 'Ga3 S3 Br6'
_space_group_name_H-M_alt 'R -3 m'
_space_group_IT_number 166
_space_group_name_Hall '-R 3 2"'
_cell_length_a 4.3350
_cell_length_b 4.3350
_cell_length_c 25.2278
_cell_angle_alpha 90.00
_cell_angle_beta 90.00
_cell_angle_gamma 120.00
loop_
_atom_site_label
_atom_site_type_symbol
_atom_site_fract_x
_atom_site_fract_y
_atom_site_fract_z
Ga1 Ga 0.0000 0.0000 0.0000
S1 S 0.0000 0.0000 0.5000
Br1 Br 0.0000 0.0000 0.4034
# relative energy among the computed polymorphs	14.4	kJ per mole of atoms
# formation energy (no corrections)	0.11	eV per atom

# Ga2SBr, optimized geometry, DFT PBE-GGA
data_Ga2SBr
_chemical_formula_sum 'Ga8 S4 Br4'
_space_group_name_H-M_alt 'F m -3 m'
_space_group_IT_number 225
_space_group_name_Hall '-F 4 2 3'
_cell_length_a 7.035
_cell_length_b 7.035
_cell_length_c 7.035
_cell_angle_alpha 90.00
_cell_angle_beta 90.00
_cell_angle_gamma 90.00
loop_
_atom_site_label
_atom_site_type_symbol
_atom_site_fract_x
_atom_site_fract_y
_atom_site_fract_z
Ga1 Ga 0.250 0.250 0.250
S1 S 0.000 0.000 0.000
Br1 Br 0.000 0.000 0.500
# relative energy among the computed polymorphs	16.4	kJ per mole of atoms
# formation energy (no corrections)	-0.09	eV per atom

# Ga3SBr, optimized geometry, DFT PBE-GGA
data_Ga3SBr
_chemical_formula_sum 'Ga3 S1 Br1'
_space_group_name_H-M_alt 'P m -3 m'
_space_group_IT_number 221
_space_group_name_Hall '-P 4 2 3'
_cell_length_a 5.397
_cell_length_b 5.397
_cell_length_c 5.397
_cell_angle_alpha 90.00
_cell_angle_beta 90.00
_cell_angle_gamma 90.00
loop_
_atom_site_label
_atom_site_type_symbol
_atom_site_fract_x
_atom_site_fract_y
_atom_site_fract_z
Ga1 Ga 0.000 0.000 0.500
S1 S 0.000 0.000 0.000
Br1 Br 0.500 0.500 0.500
# relative energy among the computed polymorphs	0.0	kJ per mole of atoms
# formation energy (no corrections)	0.06	eV per atom

# GaSBr2, optimized geometry, DFT PBE-GGA
data_GaSBr2
_chemical_formula_sum 'Ga4 S4 Br8'
_space_group_name_H-M_alt 'I -4 2 d'
_space_group_IT_number 122
_space_group_name_Hall 'I -4 2bw'
_cell_length_a 10.010
_cell_length_b 10.010
_cell_length_c 4.702
_cell_angle_alpha 90.00
_cell_angle_beta 90.00
_cell_angle_gamma 90.00
loop_
_atom_site_label
_atom_site_type_symbol
_atom_site_fract_x
_atom_site_fract_y
_atom_site_fract_z
Ga1 Ga 0.000 0.000 0.000
S1 S 0.000 0.000 0.500
Br1 Br 0.080 0.250 0.125
# relative energy among the computed polymorphs	0.0	kJ per mole of atoms
# formation energy (no corrections)	-0.04	eV per atom

| no. | E_tot (eV/cell) |
| --- | --- |
| 1 | -128.7 |
| 2 | -50.9 |
| 3 | -22.1 |
| 4 | -41.8 |
| 5 | -14.1 |
| 6 | -12.8 |
| 7 | -43.8 |
| 8 | -33.2 |
| 9 | -30.2 |
| 10 | -48.9 |
| 11 | -14.6 |
| 12 | -42.7 |